[1]
Entry from Alexandria: a relaxed structure of Ba2Tl12Cd (GGA-PBE).

Cell: 7.337 7.337 18.846 Å, 90.00 90.00 90.00°
Fractional coordinates of all 30 atoms:
Ba 0.250 0.750 0.242
Ba 0.250 0.750 0.758
Ba 0.750 0.250 0.242
Ba 0.750 0.250 0.758
Tl 0.001 0.501 0.089
Tl 0.001 0.999 0.911
Tl 0.086 0.586 0.568
Tl 0.086 0.914 0.432
Tl 0.250 0.250 0.187
Tl 0.250 0.250 0.346
Tl 0.250 0.250 0.654
Tl 0.250 0.250 0.813
Tl 0.414 0.586 0.432
Tl 0.414 0.914 0.568
Tl 0.499 0.501 0.911
Tl 0.499 0.999 0.089
Tl 0.501 0.001 0.911
Tl 0.501 0.499 0.089
Tl 0.586 0.086 0.432
Tl 0.586 0.414 0.568
Tl 0.750 0.750 0.187
Tl 0.750 0.750 0.346
Tl 0.750 0.750 0.654
Tl 0.750 0.750 0.813
Tl 0.914 0.086 0.568
Tl 0.914 0.414 0.432
Tl 0.999 0.001 0.089
Tl 0.999 0.499 0.911
Cd 0.250 0.750 0.000
Cd 0.750 0.250 0.000

Output
Formation energy from the elements, kcal/mol of atoms: -2.29
Space-group type: P4/nbm, No. 125

[2]
Entry from Alexandria: a relaxed structure of Th4Os2CS (GGA-PBE).

Cell: 7.021 4.005 7.095 Å, 90.00 108.54 90.00°
Fractional coordinates of all 8 atoms:
Th 0.233 0.000 0.243
Th 0.236 0.500 0.746
Th 0.764 0.500 0.254
Th 0.767 0.000 0.757
Os 0.000 0.000 0.500
Os 0.500 0.500 0.500
C 0.000 0.500 0.000
S 0.500 0.000 0.000

Output
Space-group type: P2/m, No. 10
E_form (uncorrected), eV per atom: -0.51

[3]
Entry from Alexandria: a relaxed structure of Cs2Np3Te6 (GGA-PBE).

Cell: 7.777 7.777 9.505 Å, 97.85 97.85 120.01°
Fractional coordinates of all 11 atoms:
Cs 0.167 0.833 0.000
Cs 0.833 0.167 0.000
Np 0.000 0.000 0.500
Np 0.333 0.667 0.500
Np 0.667 0.333 0.500
Te 0.064 0.396 0.688
Te 0.272 0.272 0.313
Te 0.396 0.064 0.688
Te 0.604 0.936 0.312
Te 0.728 0.728 0.687
Te 0.936 0.604 0.312

Output
Space-group type: C2/m, No. 12
E_form (uncorrected), eV per atom: -0.84

[4]
Entry from Alexandria: a relaxed structure of Ba2MnIn (GGA-PBE).

Cell: 5.935 5.935 4.230 Å, 90.00 90.00 90.09°
Fractional coordinates of all 4 atoms:
Ba 0.000 0.500 0.000
Ba 0.500 0.000 0.000
Mn 0.000 0.000 0.500
In 0.500 0.500 0.500

Output
Formation energy from the elements, kcal/mol of atoms: 3.57
Energy above the lowest structure with this stoichiometry, meV per atom: 70
Space-group type: Cmmm, No. 65

[5]
Entry from Alexandria: a relaxed structure of GeRh (GGA-PBE).

Cell: 7.866 7.866 7.866 Å, 91.90 91.90 159.00°
Fractional coordinates of all 8 atoms:
Ge 0.083 0.268 0.352
Ge 0.268 0.917 0.185
Ge 0.732 0.083 0.815
Ge 0.917 0.732 0.648
Rh 0.132 0.739 0.871
Rh 0.261 0.132 0.394
Rh 0.739 0.868 0.606
Rh 0.868 0.261 0.129

Output
Formation energy from the elements, kcal/mol of atoms: -2.39
Space-group type: I4/m, No. 87

[6]
Entry from Alexandria: a relaxed structure of GaTeAu (GGA-PBE).

Cell: 4.064 4.064 4.837 Å, 90.00 90.00 120.00°
Fractional coordinates of all 3 atoms:
Ga 0.000 0.000 0.000
Te 0.667 0.333 0.375
Au 0.333 0.667 0.727

Output
Space-group type: P3m1, No. 156
E_form (uncorrected), eV per atom: -0.11